Entry 1:
{"formula": "KAsPCl2", "functional": "GGA-PBE", "state": "optimized geometry", "lattice": [[5.693, 0.000, 0.000], [0.000, 5.693, 0.000], [0.000, 0.000, 6.354]], "species": ["K", "As", "P", "Cl", "Cl"], "fractional_positions": [[0.000, 0.000, 0.000], [0.500, 0.500, 0.500], [0.000, 0.000, 0.500], [0.000, 0.500, 0.000], [0.500, 0.000, 0.000]], "e_form_raw_mev_per_atom": 662, "vol_a3_per_atom": 41.19, "de_polymorph_mev_per_atom": 1080}

=====

Entry 2:
{"formula": "KAsPCl2", "functional": "GGA-PBE", "state": "optimized geometry", "lattice": [[5.387, 0.000, 0.000], [0.000, 5.387, 0.000], [0.000, 0.000, 4.792]], "species": ["K", "As", "P", "Cl", "Cl"], "fractional_positions": [[0.000, 0.000, 0.000], [0.500, 0.500, 0.500], [0.500, 0.500, 0.000], [0.000, 0.500, 0.500], [0.500, 0.000, 0.500]], "e_form_raw_mev_per_atom": -418, "vol_a3_per_atom": 27.81, "de_polymorph_mev_per_atom": 0}

=====

The total moment results, record by record, are as follows: 1.09 0.78 μB/f.u..